[1]
First-principles (meta-GGA SCAN) data for Ba2ZnHg at its PBEsol-relaxed geometry, as listed in Alexandria.

Results
DFT formation energy in eV per formula unit: -1.69
M_tot in μB/cell: 0.0

abc: 4.0580 5.7369 5.7369
angles: 90.00 90.00 90.00
Positions (direct):
Hg 0.5000 0.5000 0.5000
Zn 0.5000 0.0000 0.0000
Ba 0.0000 0.5000 0.0000
Ba 0.0000 0.0000 0.5000

[2]
First-principles (meta-GGA SCAN) data for BaZn3Hg at its PBEsol-relaxed geometry, as listed in Alexandria.

Results
DFT formation energy in eV per formula unit: 4.22
M_tot in μB/cell: 0.9

abc: 6.1676 6.1676 6.1676
angles: 90.00 90.00 90.00
Positions (direct):
Zn 0.5000 0.0000 0.0000
Zn 0.0000 0.5000 0.0000
Zn 0.0000 0.0000 0.5000
Hg 0.5000 0.5000 0.5000
Ba 0.0000 0.0000 0.0000

Copy entry 1 word for word.
First-principles (meta-GGA SCAN) data for Ba2ZnHg at its PBEsol-relaxed geometry, as listed in Alexandria.

Results
DFT formation energy in eV per formula unit: -1.69
M_tot in μB/cell: 0.0

abc: 4.0580 5.7369 5.7369
angles: 90.00 90.00 90.00
Positions (direct):
Hg 0.5000 0.5000 0.5000
Zn 0.5000 0.0000 0.0000
Ba 0.0000 0.5000 0.0000
Ba 0.0000 0.0000 0.5000

Question: Which of these has the lowest DFT formation energy?
Answer: Ba2ZnHg

Question: Which of these has the lowest DFT formation energy?
Answer: Ba2ZnHg

Question: The lowest M_tot belongs to which entry?
Answer: Ba2ZnHg